# 1
Density functional theory data (PBE) for Hf8MnBi2 after structural relaxation.

Computed properties:
total magnetic moment = 0.00 Bohr magnetons per cell
mass density = 12.917 g cm⁻³
DOS at the Fermi energy = 0.93 states/eV per atom
VASP energy = -95.571 eV per formula unit
crystal system = monoclinic

a = 8.703 Å, b = 8.703 Å, c = 6.119 Å
α = 105.10°, β = 105.10°, γ = 33.22°
Fractional positions:
Hf1 0.013 0.013 0.250
Hf2 0.217 0.217 0.115
Hf3 0.365 0.365 0.716
Hf4 0.408 0.408 0.244
Hf5 0.592 0.592 0.756
Hf6 0.635 0.635 0.284
Hf7 0.783 0.783 0.885
Hf8 0.987 0.987 0.750
Mn1 0.500 0.500 0.000
Bi1 0.175 0.175 0.608
Bi2 0.825 0.825 0.392

=====

# 2
Density functional theory data (PBE) for NdThAgRu after structural relaxation.

Computed properties:
total magnetic moment = 0.00 Bohr magnetons per cell
mass density = 10.114 g cm⁻³
DOS at the Fermi energy = 1.24 states/eV per atom
VASP energy = -25.019 eV per formula unit
crystal system = cubic

a = 5.141 Å, b = 5.141 Å, c = 5.141 Å
α = 60.00°, β = 60.00°, γ = 60.00°
Fractional positions:
Nd1 0.000 0.000 0.000
Th1 0.500 0.500 0.500
Ag1 0.250 0.250 0.250
Ru1 0.750 0.750 0.750

=====

# 3
Density functional theory data (PBE) for Na4TlHg after structural relaxation.

Computed properties:
total magnetic moment = 0.00 Bohr magnetons per cell
mass density = 4.582 g cm⁻³
DOS at the Fermi energy = 0.55 states/eV per atom
VASP energy = -8.511 eV per formula unit
crystal system = monoclinic

a = 5.773 Å, b = 3.419 Å, c = 9.121 Å
α = 90.00°, β = 90.07°, γ = 90.00°
Fractional positions:
Na1 0.001 0.000 0.191
Na2 0.499 0.500 0.677
Na3 0.501 0.500 0.323
Na4 0.999 0.000 0.809
Tl1 0.500 0.000 0.000
Hg1 0.000 0.500 0.500

=====

# 4
Density functional theory data (PBE) for Li7Cd2Pd2 after structural relaxation.

Computed properties:
total magnetic moment = 0.00 Bohr magnetons per cell
mass density = 4.272 g cm⁻³
DOS at the Fermi energy = 0.20 states/eV per atom
VASP energy = -28.460 eV per formula unit
crystal system = monoclinic

a = 6.830 Å, b = 6.830 Å, c = 4.475 Å
α = 107.89°, β = 107.89°, γ = 83.07°
Fractional positions:
Li1 0.000 0.000 0.000
Li2 0.109 0.577 0.843
Li3 0.153 0.153 0.646
Li4 0.423 0.891 0.157
Li5 0.577 0.109 0.843
Li6 0.847 0.847 0.354
Li7 0.891 0.423 0.157
Cd1 0.341 0.341 0.322
Cd2 0.659 0.659 0.678
Pd1 0.237 0.763 0.500
Pd2 0.763 0.237 0.500

=====

# 5
Density functional theory data (PBE) for Na2LaRu after structural relaxation.

Computed properties:
total magnetic moment = 0.00 Bohr magnetons per cell
mass density = 5.145 g cm⁻³
DOS at the Fermi energy = 0.64 states/eV per atom
VASP energy = -14.143 eV per formula unit
crystal system = cubic

a = 5.073 Å, b = 5.073 Å, c = 5.073 Å
α = 60.00°, β = 60.00°, γ = 60.00°
Fractional positions:
Na1 0.250 0.250 0.250
Na2 0.750 0.750 0.750
La1 0.000 0.000 0.000
Ru1 0.500 0.500 0.500

=====

# 6
Density functional theory data (PBE) for Ti2SiPbI after structural relaxation.

Computed properties:
total magnetic moment = 2.43 Bohr magnetons per cell
mass density = 5.780 g cm⁻³
DOS at the Fermi energy = 1.28 states/eV per atom
crystal system = tetragonal
raw formation energy = 673 meV/atom

a = 4.924 Å, b = 4.924 Å, c = 5.425 Å
α = 90.00°, β = 90.00°, γ = 90.00°
Fractional positions:
Ti1 0.000 0.500 0.000
Ti2 0.500 0.000 0.000
Si1 0.000 0.000 0.000
Pb1 0.500 0.500 0.500
I1 0.000 0.000 0.500